Record 1
# InP2O2

A relaxed structure of InP2O2 (GGA-PBE, the Alexandria database).

The structure in CIF format:
```
data_InP2O2
_symmetry_space_group_name_H-M 'P 1'
_symmetry_Int_Tables_number 1
_symmetry_space_group_name_Hall 'P 1'
_cell_length_a 3.686
_cell_length_b 3.686
_cell_length_c 5.924
_cell_angle_alpha 90.00
_cell_angle_beta 90.00
_cell_angle_gamma 90.00
loop_
_atom_site_label
_atom_site_fract_x
_atom_site_fract_y
_atom_site_fract_z
In1 0.000 0.000 0.000
P1 0.000 0.500 0.500
P2 0.500 0.000 0.500
O1 0.500 0.500 0.000
O2 0.500 0.500 0.500
```

Computed properties:
The value obtained for the excess energy over the best structure of this formula in the dataset is 78.2 kJ per mole of atoms. The total energy is -4.40 eV per atom.

---

Record 2
# InP3O9

A relaxed structure of InP3O9 (GGA-PBE, the Alexandria database).

The structure in CIF format:
```
data_InP3O9
_symmetry_space_group_name_H-M 'P 1'
_symmetry_Int_Tables_number 1
_symmetry_space_group_name_Hall 'P 1'
_cell_length_a 12.122
_cell_length_b 12.122
_cell_length_c 9.847
_cell_angle_alpha 110.03
_cell_angle_beta 110.03
_cell_angle_gamma 110.71
loop_
_atom_site_label
_atom_site_fract_x
_atom_site_fract_y
_atom_site_fract_z
In1 0.079 0.921 0.500
In2 0.261 0.773 0.033
In3 0.409 0.588 0.499
In4 0.588 0.409 0.999
In5 0.773 0.261 0.533
In6 0.921 0.079 0.000
P1 0.057 0.667 0.190
P2 0.058 0.439 0.245
P3 0.115 0.177 0.831
P4 0.132 0.414 0.791
P5 0.177 0.115 0.331
P6 0.324 0.381 0.665
P7 0.381 0.324 0.165
P8 0.414 0.132 0.291
P9 0.439 0.058 0.745
P10 0.453 0.852 0.851
P11 0.519 0.794 0.347
P12 0.667 0.057 0.690
P13 0.712 0.762 0.226
P14 0.726 0.999 0.181
P15 0.762 0.712 0.726
P16 0.794 0.519 0.847
P17 0.852 0.453 0.351
P18 0.999 0.726 0.681
O1 0.025 0.514 0.142
O2 0.026 0.303 0.120
O3 0.054 0.729 0.348
O4 0.065 0.851 0.670
O5 0.073 0.737 0.847
O6 0.097 0.985 0.325
O7 0.114 0.114 0.170
O8 0.114 0.114 0.670
O9 0.159 0.334 0.889
O10 0.178 0.553 0.926
O11 0.186 0.752 0.197
O12 0.198 0.538 0.407
O13 0.199 0.243 0.484
O14 0.240 0.437 0.729
O15 0.243 0.199 0.984
O16 0.303 0.026 0.620
O17 0.323 0.988 0.136
O18 0.334 0.159 0.389
O19 0.344 0.398 0.281
O20 0.345 0.765 0.873
O21 0.398 0.344 0.781
O22 0.403 0.942 0.795
O23 0.411 0.485 0.638
O24 0.417 0.686 0.355
O25 0.437 0.240 0.229
O26 0.460 0.839 0.231
O27 0.485 0.411 0.138
O28 0.486 0.776 0.730
O29 0.514 0.025 0.642
O30 0.538 0.198 0.907
O31 0.553 0.178 0.426
O32 0.593 0.973 0.032
O33 0.611 0.741 0.299
O34 0.623 0.660 0.584
O35 0.637 0.926 0.534
O36 0.660 0.623 0.084
O37 0.680 0.842 0.131
O38 0.686 0.417 0.855
O39 0.729 0.054 0.848
O40 0.737 0.073 0.347
O41 0.741 0.611 0.799
O42 0.752 0.186 0.697
O43 0.765 0.345 0.373
O44 0.776 0.486 0.230
O45 0.839 0.460 0.731
O46 0.842 0.680 0.631
O47 0.850 0.859 0.873
O48 0.851 0.065 0.170
O49 0.859 0.850 0.373
O50 0.926 0.637 0.034
O51 0.942 0.403 0.295
O52 0.973 0.593 0.532
O53 0.985 0.097 0.825
O54 0.988 0.323 0.636
```

Computed properties:
The value obtained for the excess energy over the best structure of this formula in the dataset is 0.0 kJ per mole of atoms. The total energy is -6.96 eV per atom.

---

Record 3
# PaIn2PO8

A relaxed structure of PaIn2PO8 (GGA-PBE, the Alexandria database).

The structure in CIF format:
```
data_PaIn2PO8
_symmetry_space_group_name_H-M 'P 1'
_symmetry_Int_Tables_number 1
_symmetry_space_group_name_Hall 'P 1'
_cell_length_a 4.749
_cell_length_b 4.749
_cell_length_c 6.497
_cell_angle_alpha 90.00
_cell_angle_beta 90.00
_cell_angle_gamma 90.63
loop_
_atom_site_label
_atom_site_fract_x
_atom_site_fract_y
_atom_site_fract_z
Pa1 0.000 0.000 0.000
In1 0.500 0.500 0.274
In2 0.500 0.500 0.726
P1 0.000 0.000 0.500
O1 0.174 0.826 0.298
O2 0.174 0.826 0.702
O3 0.261 0.261 0.500
O4 0.311 0.311 0.000
O5 0.689 0.689 0.000
O6 0.739 0.739 0.500
O7 0.826 0.174 0.298
O8 0.826 0.174 0.702
```

Computed properties:
The total energy is -7.11 eV per atom.

---

Record 4
# InP2PbO8

A relaxed structure of InP2PbO8 (GGA-PBE, the Alexandria database).

The structure in CIF format:
```
data_InP2PbO8
_symmetry_space_group_name_H-M 'P 1'
_symmetry_Int_Tables_number 1
_symmetry_space_group_name_Hall 'P 1'
_cell_length_a 7.943
_cell_length_b 7.943
_cell_length_c 7.943
_cell_angle_alpha 36.34
_cell_angle_beta 36.34
_cell_angle_gamma 36.34
loop_
_atom_site_label
_atom_site_fract_x
_atom_site_fract_y
_atom_site_fract_z
In1 0.000 0.000 0.000
P1 0.254 0.254 0.254
P2 0.746 0.746 0.746
Pb1 0.500 0.500 0.500
O1 0.023 0.426 0.729
O2 0.183 0.183 0.183
O3 0.271 0.977 0.574
O4 0.426 0.729 0.023
O5 0.574 0.271 0.977
O6 0.729 0.023 0.426
O7 0.817 0.817 0.817
O8 0.977 0.574 0.271
```

Computed properties:
The value obtained for the excess energy over the best structure of this formula in the dataset is 3.9 kJ per mole of atoms. The total energy is -6.54 eV per atom.